The following is a DFT calculation (meta-GGA SCAN) of a crystal of YMgOs2 relaxed with PBEsol.

Lattice parameters (Å, degrees): 3.166 4.720 8.935 90.00 90.00 90.00
Fractional coordinates of all 8 atoms:
Y 0.000 0.000 0.000
Y 0.500 0.500 0.000
Mg 0.000 0.000 0.500
Mg 0.500 0.500 0.500
Os 0.000 0.500 0.257
Os 0.000 0.500 0.743
Os 0.500 0.000 0.257
Os 0.500 0.000 0.743

Output
formation energy	0.31	eV per atom
total magnetic moment	0.0	μB/cell
SG	No. 65